Computed, not measured: a relaxed structure of Ce2Pd6Pt at the PBE level of DFT.

Properties
Formation energy from the elements, meV per atom: -640
Crystal system: monoclinic

Unit cell a=4.1581 b=6.6929 c=6.4611 alpha=107.14 beta=108.77 gamma=90.00
With the nearest neighbours (Å) after each atom.
Atoms (fractional coordinates):
Pd  0.7251  0.8312  0.4501  3 Ce 2.87-2.94, 8 Pd 2.88-3.01, 1 Pt 2.95
Ce  0.9392  0.1858  0.8783  9 Pd 2.83-3.08, 2 Pt 2.89
Pd  0.8289  0.4996  0.6578  2 Ce 2.83-2.96, 8 Pd 2.84-2.96, 2 Pt 2.95
Pt  0.5000  0.5000  0.0000  4 Ce 2.89, 8 Pd 2.93-2.95
Pd  0.2749  0.1688  0.5499  3 Ce 2.87-2.94, 8 Pd 2.88-3.01, 1 Pt 2.95
Pd  0.6118  0.1713  0.2236  7 Pd 2.87-3.01, 1 Pt 2.93, 4 Ce 2.99-3.08
Pd  0.1711  0.5004  0.3422  2 Ce 2.83-2.96, 8 Pd 2.84-2.96, 2 Pt 2.95
Pd  0.3882  0.8287  0.7764  7 Pd 2.87-3.01, 1 Pt 2.93, 4 Ce 2.99-3.08
Ce  0.0608  0.8142  0.1217  9 Pd 2.83-3.08, 2 Pt 2.89

***

Computed, not measured: a relaxed structure of La2PmP2Cl2 at the PBE level of DFT.

Properties
Crystal system: tetragonal
Formation energy without anion corrections, eV/atom: -1.500

Unit cell a=5.4583 b=5.4583 c=8.1603 alpha=109.54 beta=109.54 gamma=90.00
With the nearest neighbours (Å) after each atom.
Atoms (fractional coordinates):
Pm  0.0000  0.0000  0.0000  4 P 2.73, 2 Cl 2.91
La  0.3964  0.3964  0.7928  1 Cl 2.79, 1 La 2.98, 4 P 3.11
P  0.5000  0.0000  0.0000  2 Pm 2.73
Cl  0.7975  0.7975  0.5949  1 La 2.79, 1 Pm 2.91
Cl  0.2025  0.2025  0.4051  1 La 2.79, 1 Pm 2.91
P  0.0000  0.5000  0.0000  2 Pm 2.73
La  0.6036  0.6036  0.2072  1 Cl 2.79, 1 La 2.98, 4 P 3.11